1.
The following is a DFT calculation (PBE) of an optimized crystal structure of Cu2ReSe.

Properties
Mass density = 10.605 g/cm3
E = -5.583 eV per atom
Crystal system = tetragonal
Density of states at the Fermi level = 3.17 states/eV per cell

```
Cu2ReSe
1.0
2.688 0.000 0.000
0.000 2.688 0.000
0.000 0.000 8.500
Cu Re Se
2 1 1
direct
0.000 0.000 0.223 Cu
0.000 0.000 0.777 Cu
0.500 0.500 0.000 Re
0.500 0.500 0.500 Se
```

2.
The following is a DFT calculation (PBE) of an optimized crystal structure of BaScOs2.

Properties
Relative energy among the computed polymorphs = 389 meV per atom
Mass density = 10.228 g/cm3
Crystal system = monoclinic
Density of states at the Fermi level = 4.89 states/eV per cell
ΔE_f = 0.52 eV per atom

```
BaScOs2
1.0
3.034 0.000 0.000
0.000 4.411 0.000
-1.206 0.000 6.827
Ba Sc Os
1 1 2
direct
0.000 0.000 0.000 Ba
0.500 0.000 0.500 Sc
0.269 0.500 0.660 Os
0.731 0.500 0.340 Os
```

3.
The following is a DFT calculation (PBE) of an optimized crystal structure of TiTePO2.

Properties
Relative energy among the computed polymorphs = 926 meV per atom
Mass density = 4.614 g/cm3
Crystal system = tetragonal
Density of states at the Fermi level = 7.14 states/eV per cell

```
TiTePO2
1.0
3.975 0.000 0.000
0.000 3.975 0.000
0.000 0.000 5.429
Ti Te P O
1 1 1 2
direct
0.000 0.000 0.000 Ti
0.500 0.500 0.500 Te
0.500 0.500 0.000 P
0.000 0.500 0.500 O
0.500 0.000 0.500 O
```

4.
The following is a DFT calculation (PBE) of an optimized crystal structure of ScMnV2Co.

Properties
Mass density = 5.476 g/cm3
Crystal system = tetragonal
Density of states at the Fermi level = 7.67 states/eV per cell
ΔE_f = 1.83 eV per atom

```
ScMnV2Co
1.0
4.365 0.000 0.000
0.000 4.365 0.000
0.000 0.000 4.148
Sc Mn V Co
1 1 2 1
direct
0.000 0.000 0.000 Sc
0.500 0.500 0.500 Mn
0.000 0.500 0.000 V
0.500 0.000 0.000 V
0.000 0.000 0.500 Co
```

5.
The following is a DFT calculation (PBE) of an optimized crystal structure of Y2SeBr.

Properties
Relative energy among the computed polymorphs = 150 meV per atom
Mass density = 6.141 g/cm3
Crystal system = cubic
Density of states at the Fermi level = 2.77 states/eV per cell

```
Y2SeBr
1.0
0.000 3.570 3.570
3.570 0.000 3.570
3.570 3.570 0.000
Y Se Br
2 1 1
direct
0.250 0.250 0.250 Y
0.750 0.750 0.750 Y
0.000 0.000 0.000 Se
0.500 0.500 0.500 Br
```

6.
The following is a DFT calculation (PBE) of an optimized crystal structure of Tb3Ho6Pu.

Properties
Relative energy among the computed polymorphs = 0 meV per atom
Mass density = 9.121 g/cm3
Crystal system = monoclinic
Density of states at the Fermi level = 36.04 states/eV per cell
ΔE_f = 0.11 eV per atom

```
Tb3Ho6Pu
1.0
13.887 0.000 0.000
0.000 3.525 0.000
-6.461 0.000 12.724
Tb Ho Pu
6 12 2
direct
0.119 0.250 0.047 Tb
0.201 0.750 0.487 Tb
0.340 0.750 0.164 Tb
0.660 0.250 0.836 Tb
0.799 0.250 0.513 Tb
0.881 0.750 0.953 Tb
0.034 0.750 0.216 Ho
0.050 0.750 0.623 Ho
0.239 0.750 0.900 Ho
0.286 0.250 0.334 Ho
0.459 0.250 0.601 Ho
0.493 0.750 0.894 Ho
0.507 0.250 0.106 Ho
0.541 0.750 0.399 Ho
0.714 0.750 0.666 Ho
0.761 0.250 0.100 Ho
0.950 0.250 0.377 Ho
0.966 0.250 0.784 Ho
0.285 0.250 0.712 Pu
0.715 0.750 0.288 Pu
```

7.
The following is a DFT calculation (PBE) of an optimized crystal structure of CsBaPt3.

Properties
Relative energy among the computed polymorphs = 25 meV per atom
Mass density = 9.147 g/cm3
Crystal system = cubic
Density of states at the Fermi level = 6.45 states/eV per cell
ΔE_f = 0.98 eV per atom

```
CsBaPt3
1.0
5.375 0.000 0.000
0.000 5.375 0.000
0.000 0.000 5.375
Cs Ba Pt
1 1 3
direct
0.000 0.000 0.000 Cs
0.500 0.500 0.500 Ba
0.000 0.000 0.500 Pt
0.000 0.500 0.000 Pt
0.500 0.000 0.000 Pt
```

8.
The following is a DFT calculation (PBE) of an optimized crystal structure of MnCoB.

Properties
Mass density = 7.448 g/cm3
Crystal system = orthorhombic
Density of states at the Fermi level = 7.49 states/eV per cell
ΔE_f = -0.34 eV per atom

```
MnCoB
1.0
9.928 0.000 0.000
0.000 2.904 0.000
0.000 0.000 5.786
Mn Co B
6 6 6
direct
0.045 0.000 0.219 Mn
0.250 0.000 0.848 Mn
0.455 0.000 0.219 Mn
0.545 0.000 0.781 Mn
0.750 0.000 0.152 Mn
0.955 0.000 0.781 Mn
0.121 0.500 0.570 Co
0.250 0.500 0.194 Co
0.379 0.500 0.570 Co
0.621 0.500 0.430 Co
0.750 0.500 0.806 Co
0.879 0.500 0.430 Co
0.088 0.500 0.945 B
0.250 0.000 0.447 B
0.412 0.500 0.945 B
0.588 0.500 0.055 B
0.750 0.000 0.553 B
0.912 0.500 0.055 B
```

9.
The following is a DFT calculation (PBE) of an optimized crystal structure of ZrTcRu3.

Properties
Relative energy among the computed polymorphs = 1034 meV per atom
Mass density = 8.072 g/cm3
Crystal system = cubic
Density of states at the Fermi level = 15.17 states/eV per cell
ΔE_f = 2.07 eV per atom

```
ZrTcRu3
1.0
4.662 0.000 0.000
0.000 4.662 0.000
0.000 0.000 4.662
Zr Tc Ru
1 1 3
direct
0.000 0.000 0.000 Zr
0.500 0.500 0.500 Tc
0.000 0.000 0.500 Ru
0.000 0.500 0.000 Ru
0.500 0.000 0.000 Ru
```

10.
The following is a DFT calculation (PBE) of an optimized crystal structure of La8Te4Ir3Br.

Properties
Mass density = 7.578 g/cm3
E = -6.270 eV per atom
Crystal system = trigonal
Density of states at the Fermi level = 13.71 states/eV per cell

```
La8Te4Ir3Br
1.0
4.356 2.515 7.594
-4.356 2.515 7.594
0.000 -5.030 7.594
La Te Ir Br
8 4 3 1
direct
0.217 0.750 0.750 La
0.236 0.236 0.236 La
0.250 0.250 0.783 La
0.250 0.783 0.250 La
0.750 0.217 0.750 La
0.750 0.750 0.217 La
0.764 0.764 0.764 La
0.783 0.250 0.250 La
0.000 0.000 0.000 Te
0.000 0.500 0.500 Te
0.500 0.000 0.500 Te
0.500 0.500 0.000 Te
0.000 0.000 0.500 Ir
0.000 0.500 0.000 Ir
0.500 0.000 0.000 Ir
0.500 0.500 0.500 Br
```

11.
The following is a DFT calculation (PBE) of an optimized crystal structure of Sr3ZrPt.

Properties
Relative energy among the computed polymorphs = 0 meV per atom
Mass density = 4.555 g/cm3
Crystal system = cubic
Density of states at the Fermi level = 7.50 states/eV per cell
ΔE_f = 0.17 eV per atom

```
Sr3ZrPt
1.0
5.850 0.000 0.000
0.000 5.850 0.000
0.000 0.000 5.850
Sr Zr Pt
3 1 1
direct
0.000 0.000 0.500 Sr
0.000 0.500 0.000 Sr
0.500 0.000 0.000 Sr
0.500 0.500 0.500 Zr
0.000 0.000 0.000 Pt
```

12.
The following is a DFT calculation (PBE) of an optimized crystal structure of Na2TiIrW.

Properties
Mass density = 6.091 g/cm3
Crystal system = tetragonal
Density of states at the Fermi level = 8.69 states/eV per cell
ΔE_f = 1.84 eV per atom

```
Na2TiIrW
1.0
5.213 0.000 0.000
0.000 5.213 0.000
0.000 0.000 4.715
Na Ti Ir W
2 1 1 1
direct
0.000 0.500 0.000 Na
0.500 0.000 0.000 Na
0.000 0.000 0.500 Ti
0.500 0.500 0.500 Ir
0.500 0.500 0.000 W
```

13.
The following is a DFT calculation (PBE) of an optimized crystal structure of TmInCoRu.

Properties
Mass density = 10.767 g/cm3
Crystal system = cubic
Density of states at the Fermi level = 5.34 states/eV per cell
ΔE_f = -0.17 eV per atom

```
TmInCoRu
1.0
0.000 3.247 3.247
3.247 0.000 3.247
3.247 3.247 0.000
Tm In Co Ru
1 1 1 1
direct
0.000 0.000 0.000 Tm
0.500 0.500 0.500 In
0.750 0.750 0.750 Co
0.250 0.250 0.250 Ru
```

14.
The following is a DFT calculation (PBE) of an optimized crystal structure of Sb2PtAu.

Properties
Relative energy among the computed polymorphs = 53 meV per atom
Mass density = 11.766 g/cm3
Crystal system = monoclinic
Density of states at the Fermi level = 1.67 states/eV per cell

```
Sb2PtAu
1.0
4.013 0.000 0.000
0.000 3.977 0.000
-0.015 0.000 5.621
Sb Pt Au
2 1 1
direct
0.000 0.000 0.000 Sb
0.500 0.500 0.500 Sb
0.000 0.000 0.500 Pt
0.500 0.500 0.000 Au
```

15.
The following is a DFT calculation (PBE) of an optimized crystal structure of PaZnBi.

Properties
Mass density = 11.405 g/cm3
Crystal system = tetragonal
Density of states at the Fermi level = 5.33 states/eV per cell
ΔE_f = 0.13 eV per atom

```
PaZnBi
1.0
-1.749 1.749 6.014
1.749 -1.749 6.014
1.749 1.749 -6.014
Pa Zn Bi
1 1 1
direct
0.000 0.000 0.000 Pa
0.350 0.350 0.000 Zn
0.694 0.694 0.000 Bi
```

16.
The following is a DFT calculation (PBE) of an optimized crystal structure of K2LiVI6.

Properties
Mass density = 4.007 g/cm3
E = -3.213 eV per atom
Crystal system = triclinic
Density of states at the Fermi level = 8.71 states/eV per cell

```
K2LiVI6
1.0
7.757 0.000 0.000
-0.003 7.761 0.000
-3.866 -3.852 6.178
K Li V I
2 1 1 6
direct
0.000 0.000 0.000 K
0.497 0.505 0.000 K
0.708 0.214 0.422 Li
0.245 0.749 0.491 V
0.027 0.533 0.044 I
0.063 0.439 0.490 I
0.438 0.068 0.514 I
0.470 0.973 0.958 I
0.560 0.573 0.504 I
0.940 0.934 0.500 I
```

17.
The following is a DFT calculation (PBE) of an optimized crystal structure of ReAgPb4.

Properties
Mass density = 10.711 g/cm3
Crystal system = cubic
Density of states at the Fermi level = 4.66 states/eV per cell
ΔE_f = 1.18 eV per atom

```
ReAgPb4
1.0
0.000 4.432 4.432
4.432 0.000 4.432
4.432 4.432 0.000
Re Ag Pb
1 1 4
direct
0.000 0.000 0.000 Re
0.750 0.750 0.750 Ag
0.374 0.374 0.374 Pb
0.374 0.374 0.877 Pb
0.374 0.877 0.374 Pb
0.877 0.374 0.374 Pb
```

18.
The following is a DFT calculation (PBE) of an optimized crystal structure of DyPaN.

Properties
Relative energy among the computed polymorphs = 0 meV per atom
Mass density = 11.002 g/cm3
Crystal system = trigonal
Density of states at the Fermi level = 5.11 states/eV per cell

```
DyPaN
1.0
3.425 0.000 0.000
-1.713 2.966 0.000
0.000 0.000 6.054
Dy Pa N
1 1 1
direct
0.000 0.000 0.000 Dy
0.333 0.667 0.536 Pa
0.667 0.333 0.760 N
```

19.
The following is a DFT calculation (PBE) of an optimized crystal structure of K3La.

Properties
Mass density = 1.921 g/cm3
Crystal system = trigonal
Density of states at the Fermi level = 3.98 states/eV per cell
ΔE_f = 0.25 eV per atom

```
K3La
1.0
2.040 1.178 15.356
-2.040 1.178 15.356
0.000 -2.356 15.356
K La
3 1
direct
0.000 0.000 0.000 K
0.245 0.245 0.245 K
0.755 0.755 0.755 K
0.500 0.500 0.500 La
```

20.
The following is a DFT calculation (PBE) of an optimized crystal structure of TlTe2.

Properties
Relative energy among the computed polymorphs = 21 meV per atom
Mass density = 6.927 g/cm3
Crystal system = monoclinic
Density of states at the Fermi level = 0.50 states/eV per cell

```
TlTe2
1.0
6.906 -2.246 0.000
6.906 2.246 0.000
-1.247 0.000 7.102
Tl Te
2 4
direct
0.155 0.155 0.350 Tl
0.845 0.845 0.650 Tl
0.187 0.187 0.904 Te
0.479 0.479 0.301 Te
0.521 0.521 0.699 Te
0.813 0.813 0.096 Te
```

21.
The following is a DFT calculation (PBE) of an optimized crystal structure of SmHoMgCu.

Properties
Mass density = 6.862 g/cm3
Crystal system = cubic
Density of states at the Fermi level = 4.05 states/eV per cell
ΔE_f = -0.06 eV per atom

```
SmHoMgCu
1.0
0.000 3.654 3.654
3.654 0.000 3.654
3.654 3.654 0.000
Sm Ho Mg Cu
1 1 1 1
direct
0.000 0.000 0.000 Sm
0.500 0.500 0.500 Ho
0.750 0.750 0.750 Mg
0.250 0.250 0.250 Cu
```

22.
The following is a DFT calculation (PBE) of an optimized crystal structure of La6NdAl2.

Properties
Relative energy among the computed polymorphs = 0 meV per atom
Mass density = 5.844 g/cm3
Crystal system = monoclinic
Density of states at the Fermi level = 11.67 states/eV per cell
ΔE_f = -0.15 eV per atom

```
La6NdAl2
1.0
6.666 -1.934 0.000
6.666 1.934 0.000
-3.635 0.000 11.371
La Nd Al
6 1 2
direct
0.029 0.029 0.328 La
0.308 0.308 0.403 La
0.320 0.320 0.123 La
0.680 0.680 0.877 La
0.692 0.692 0.597 La
0.971 0.971 0.672 La
0.000 0.000 0.000 Nd
0.347 0.347 0.807 Al
0.653 0.653 0.193 Al
```

23.
The following is a DFT calculation (PBE) of an optimized crystal structure of TbCeCl6.

Properties
Mass density = 3.314 g/cm3
E = -4.920 eV per atom
Crystal system = trigonal
Density of states at the Fermi level = 8.43 states/eV per cell

```
TbCeCl6
1.0
3.432 1.981 6.283
-3.432 1.981 6.283
0.000 -3.963 6.283
Tb Ce Cl
1 1 6
direct
0.000 0.000 0.000 Tb
0.500 0.500 0.500 Ce
0.097 0.756 0.392 Cl
0.244 0.608 0.903 Cl
0.392 0.097 0.756 Cl
0.608 0.903 0.244 Cl
0.756 0.392 0.097 Cl
0.903 0.244 0.608 Cl
```

24.
The following is a DFT calculation (PBE) of an optimized crystal structure of HoIn2Hg.

Properties
Mass density = 9.557 g/cm3
Crystal system = trigonal
Density of states at the Fermi level = 1.94 states/eV per cell
ΔE_f = -0.16 eV per atom

```
HoIn2Hg
1.0
2.379 1.374 5.274
-2.379 1.374 5.274
0.000 -2.747 5.274
Ho In Hg
1 2 1
direct
0.000 0.000 0.000 Ho
0.235 0.235 0.235 In
0.765 0.765 0.765 In
0.500 0.500 0.500 Hg
```

25.
The following is a DFT calculation (PBE) of an optimized crystal structure of TaMn3Hg.

Properties
Relative energy among the computed polymorphs = 391 meV per atom
Mass density = 7.956 g/cm3
Crystal system = cubic
Density of states at the Fermi level = 7.55 states/eV per cell
ΔE_f = 1.67 eV per atom

```
TaMn3Hg
1.0
4.849 0.000 0.000
0.000 4.849 0.000
0.000 0.000 4.849
Ta Mn Hg
1 3 1
direct
0.000 0.000 0.000 Ta
0.000 0.500 0.500 Mn
0.500 0.000 0.500 Mn
0.500 0.500 0.000 Mn
0.500 0.500 0.500 Hg
```

26.
The following is a DFT calculation (PBE) of an optimized crystal structure of Ho4PuPb5.

Properties
Mass density = 11.575 g/cm3
Crystal system = tetragonal
Density of states at the Fermi level = 14.79 states/eV per cell
ΔE_f = -0.37 eV per atom

```
Ho4PuPb5
1.0
3.509 0.000 0.000
0.000 3.509 0.000
0.000 0.000 22.599
Ho Pu Pb
4 1 5
direct
0.000 0.000 0.099 Ho
0.000 0.000 0.299 Ho
0.000 0.000 0.701 Ho
0.000 0.000 0.901 Ho
0.000 0.000 0.500 Pu
0.500 0.500 0.000 Pb
0.500 0.500 0.199 Pb
0.500 0.500 0.397 Pb
0.500 0.500 0.603 Pb
0.500 0.500 0.801 Pb
```